A plane-wave DFT calculation with PBE was carried out for a relaxed CsRb7Hg2 crystal.

Geometry as POSCAR:
```
CsRb7Hg2
1.0
7.7495 -9.8429 0.0000
7.7495 9.8429 0.0000
0.0000 0.0000 5.0047
Cs Rb Hg
1 7 2
Direct
0.0000 0.0000 0.0000
0.1080 0.3685 0.5000
0.2831 0.7169 0.0000
0.3685 0.1080 0.5000
0.5000 0.5000 0.5000
0.6315 0.8920 0.5000
0.7169 0.2831 0.0000
0.8920 0.6315 0.5000
0.1485 0.8515 0.5000
0.8515 0.1485 0.5000
```

Properties
Spin magnetization: 0.00 μB per cell
Formation energy from the elements: -5.5 kJ/mol of atoms
Theoretical density: 2.5 g/cm³

A plane-wave DFT calculation with PBE was carried out for a relaxed CaSmPdO4 crystal.

Geometry as POSCAR:
```
CaSmPdO4
1.0
-3.5797 3.6804 3.9504
3.5797 -3.6804 3.9504
3.5797 3.6804 -3.9504
Ca Sm Pd O
2 2 2 8
Direct
0.4371 0.1871 0.2500
0.5629 0.8129 0.7500
0.0000 0.0000 0.5000
0.0000 0.5000 0.0000
0.0000 0.5000 0.5000
0.5000 0.5000 0.0000
0.1950 0.2437 0.9513
0.2076 0.7563 0.4513
0.2933 0.3565 0.5631
0.2933 0.7302 0.9369
0.7067 0.2698 0.0631
0.7067 0.6435 0.4369
0.7924 0.2437 0.5487
0.8050 0.7563 0.0487
```

Properties
Spin magnetization: 0.00 μB per cell
Uncorrected formation energy: -2.137 eV per atom
Theoretical density: 5.8 g/cm³

What did the first record say?
A plane-wave DFT calculation with PBE was carried out for a relaxed CsRb7Hg2 crystal.

Geometry as POSCAR:
```
CsRb7Hg2
1.0
7.7495 -9.8429 0.0000
7.7495 9.8429 0.0000
0.0000 0.0000 5.0047
Cs Rb Hg
1 7 2
Direct
0.0000 0.0000 0.0000
0.1080 0.3685 0.5000
0.2831 0.7169 0.0000
0.3685 0.1080 0.5000
0.5000 0.5000 0.5000
0.6315 0.8920 0.5000
0.7169 0.2831 0.0000
0.8920 0.6315 0.5000
0.1485 0.8515 0.5000
0.8515 0.1485 0.5000
```

Properties
Spin magnetization: 0.00 μB per cell
Formation energy from the elements: -5.5 kJ/mol of atoms
Theoretical density: 2.5 g/cm³

> Which value of spin magnetization does entry 1 give?

0.00 μB per cell

> What is the theoretical density in the first record?

2.5 g/cm³

> Look up the theoretical density of the second one.

5.8 g/cm³